1.
{
  "formula": "LiGa2P2",
  "functional": "PBE",
  "state": "optimized geometry",
  "mass_density_g_cm3": 3.70,
  "polymorph_energy_ev_per_atom": 0.008,
  "lattice_angstrom": [[-2.330, 2.330, 4.312], [2.330, -2.330, 4.312], [2.330, 2.330, -4.312]],
  "species": ["Li", "Ga", "Ga", "P", "P"],
  "fractional_positions": [[0.000, 0.000, 0.000], [0.355, 0.355, 0.000], [0.645, 0.645, 0.000], [0.250, 0.750, 0.500], [0.750, 0.250, 0.500]]
}

***

2.
{
  "formula": "TlNiW2",
  "functional": "PBE",
  "state": "optimized geometry",
  "mass_density_g_cm3": 15.72,
  "polymorph_energy_ev_per_atom": 0.275,
  "lattice_angstrom": [[1.443, 0.833, 9.243], [-1.443, 0.833, 9.243], [0.000, -1.666, 9.243]],
  "species": ["Tl", "Ni", "W", "W"],
  "fractional_positions": [[0.000, 0.000, 0.000], [0.500, 0.500, 0.500], [0.241, 0.241, 0.241], [0.759, 0.759, 0.759]]
}

***

no.,total magnetic moment (μB per cell),DFT formation energy (eV/f.u.),DOS at the Fermi energy (states/eV/cell)
1,0.00,-0.381,2.2
2,0.00,3.064,4.1